Computed, not measured: crystalline Rb2RuSCl6 at its relaxed geometry at the PBE level of DFT.

Output
- DFT total energy: -34.62 eV/cell
- Symmetry: I4/mmm, No. 139
- E_form (uncorrected): -820.4 meV per atom
- V: 289.74 Å³ per cell

a b c (Å): 7.9826 7.9826 7.2481
angles (deg): 56.59 56.59 90.00
Atoms (fractional coordinates):
Cl (0.7887, 0.2113, 0.0000)
Cl (0.2113, 0.2113, 0.0000)
Cl (0.7887, 0.7887, 0.0000)
Cl (0.2559, 0.2559, 0.4882)
Cl (0.7441, 0.7441, 0.5118)
Cl (0.2113, 0.7887, 0.0000)
Rb (0.7500, 0.2500, 0.5000)
Rb (0.2500, 0.7500, 0.5000)
Ru (0.0000, 0.0000, 0.0000)
S (0.5000, 0.5000, 0.0000)



Computed, not measured: crystalline Tb2TaZn at its relaxed geometry at the PBE level of DFT.

Output
- DFT total energy: -20.22 eV/cell
- Symmetry: R-3m, No. 166
- V: 95.41 Å³ per cell
- Energy of formation: 0.542 eV per atom

a b c (Å): 3.1540 3.1540 11.2241
angles (deg): 81.92 81.92 60.00
Atoms (fractional coordinates):
Tb (0.0916, 0.0916, 0.7251)
Tb (0.9084, 0.9084, 0.2749)
Ta (0.0000, 0.0000, 0.0000)
Zn (0.5000, 0.5000, 0.5000)